First-principles (PBE) data for crystalline MgCoNiPb at its relaxed geometry, as listed in the Open Quantum Materials Database.

extended XYZ file:
```
16
Lattice="6.2458 0.0000 0.0000 0.0000 6.2458 0.0000 0.0000 0.0000 6.2458" Properties=species:S:1:pos:R:3 pbc="T T T"
Mg 0.0000 0.0000 0.0000
Mg 0.0000 3.1229 3.1229
Mg 3.1229 0.0000 3.1229
Mg 3.1229 3.1229 0.0000
Co 1.5615 1.5615 1.5615
Co 1.5615 4.6844 4.6844
Co 4.6844 1.5615 4.6844
Co 4.6844 4.6844 1.5615
Ni 1.5615 1.5615 4.6844
Ni 1.5615 4.6844 1.5615
Ni 4.6844 1.5615 1.5615
Ni 4.6844 4.6844 4.6844
Pb 0.0000 0.0000 3.1229
Pb 0.0000 3.1229 0.0000
Pb 3.1229 0.0000 0.0000
Pb 3.1229 3.1229 3.1229
```

Summary:
E above lowest polymorph = 0.0 kJ per mole of atoms
total moment = 1.60 μB/cell

***

First-principles (PBE) data for crystalline YHo3Sb4 at its relaxed geometry, as listed in the Open Quantum Materials Database.

extended XYZ file:
```
8
Lattice="6.1821 0.0000 0.0000 0.0000 6.1821 0.0000 0.0000 0.0000 6.1821" Properties=species:S:1:pos:R:3 pbc="T T T"
Y 0.0000 0.0000 0.0000
Ho 0.0000 3.0910 3.0910
Ho 3.0910 0.0000 3.0910
Ho 3.0910 3.0910 0.0000
Sb 0.0000 0.0000 3.0910
Sb 0.0000 3.0910 0.0000
Sb 3.0910 0.0000 0.0000
Sb 3.0910 3.0910 3.0910
```

Summary:
energy = -5.712 eV per atom
total moment = 0.00 μB/cell